## MoIrPd2 (GGA-PBE)

Data for a geometry-optimized MoIrPd2 structure.

Calculated values
ρ, g/cm³: 12.52

Unit cell a=5.6778 b=5.6778 c=5.6778 alpha=102.28 beta=102.28 gamma=125.07
Last column: nearest neighbours and their distance in Å.
Element x y z (fractional)
Mo: 0.0000 0.0000 0.0000  4 Pd 2.55, 2 Ir 2.62
Mo: 0.7500 0.2500 0.5000  4 Pd 2.55, 2 Ir 2.62
Ir: 0.2500 0.7500 0.5000  2 Mo 2.62, 4 Pd 2.65
Ir: 0.5000 0.5000 0.0000  2 Mo 2.62, 4 Pd 2.65
Pd: 0.1150 0.6250 0.9900  2 Mo 2.55, 2 Pd 2.62, 2 Ir 2.65
Pd: 0.3750 0.3650 0.4900  2 Mo 2.55, 2 Pd 2.62, 2 Ir 2.65
Pd: 0.6350 0.1250 0.0100  2 Mo 2.55, 2 Pd 2.62, 2 Ir 2.65
Pd: 0.8750 0.8850 0.5100  2 Mo 2.55, 2 Pd 2.62, 2 Ir 2.65

=====

## Mo2IrPd (GGA-PBE)

Data for a geometry-optimized Mo2IrPd structure.

Calculated values
ρ, g/cm³: 12.25

Unit cell a=9.5144 b=9.5144 c=9.5144 alpha=156.85 beta=156.85 gamma=32.97
Last column: nearest neighbours and their distance in Å.
Element x y z (fractional)
Mo: 0.1120 0.6250 0.9870  4 Mo 2.63-2.77, 2 Ir 2.63, 2 Pd 2.67
Mo: 0.3750 0.3620 0.4870  4 Mo 2.63-2.77, 2 Ir 2.63, 2 Pd 2.67
Mo: 0.6380 0.1250 0.0130  4 Mo 2.63-2.77, 2 Ir 2.63, 2 Pd 2.67
Mo: 0.8750 0.8880 0.5130  4 Mo 2.63-2.77, 2 Ir 2.63, 2 Pd 2.67
Ir: 0.0000 0.0000 0.0000  4 Mo 2.63, 4 Pd 2.70
Ir: 0.7500 0.2500 0.5000  4 Mo 2.63, 4 Pd 2.70
Pd: 0.2500 0.7500 0.5000  4 Mo 2.67, 4 Ir 2.70
Pd: 0.5000 0.5000 0.0000  4 Mo 2.67, 4 Ir 2.70

=====

## MoIr2Pd (GGA-PBE)

Data for a geometry-optimized MoIr2Pd structure.

Calculated values
ρ, g/cm³: 16.00

Unit cell a=4.4162 b=4.4162 c=4.4162 alpha=60.00 beta=60.00 gamma=60.00
Last column: nearest neighbours and their distance in Å.
Element x y z (fractional)
Mo: 0.0000 0.0000 0.0000  8 Ir 2.70
Ir: 0.2500 0.2500 0.2500  4 Mo 2.70, 4 Pd 2.70
Ir: 0.7500 0.7500 0.7500  4 Pd 2.70, 4 Mo 2.70
Pd: 0.5000 0.5000 0.5000  8 Ir 2.70

=====

## MoIr2Pd (GGA-PBE)

Data for a geometry-optimized MoIr2Pd structure.

Calculated values
ρ, g/cm³: 14.39

Unit cell a=5.6890 b=5.6890 c=5.6890 alpha=103.03 beta=103.03 gamma=123.30
Last column: nearest neighbours and their distance in Å.
Element x y z (fractional)
Mo: 0.0000 0.0000 0.0000  4 Ir 2.43, 2 Pd 2.70
Mo: 0.7500 0.2500 0.5000  4 Ir 2.43, 2 Pd 2.70
Ir: 0.0902 0.6250 0.9652  2 Mo 2.43
Ir: 0.3750 0.3402 0.4652  2 Mo 2.43
Ir: 0.6598 0.1250 0.0348  2 Mo 2.43
Ir: 0.8750 0.9098 0.5348  2 Mo 2.43
Pd: 0.2500 0.7500 0.5000  2 Mo 2.70, 4 Ir 2.77
Pd: 0.5000 0.5000 0.0000  2 Mo 2.70, 4 Ir 2.77

=====

## Mo2Ir2Pd (GGA-PBE)

Data for a geometry-optimized Mo2Ir2Pd structure.

Calculated values
ρ, g/cm³: 14.03

Unit cell a=7.6429 b=7.6429 c=2.7663 alpha=90.00 beta=90.00 gamma=90.00
Last column: nearest neighbours and their distance in Å.
Element x y z (fractional)
Mo: 0.1252 0.3748 0.0000  6 Ir 2.64, 3 Mo 2.71-2.77
Mo: 0.3748 0.8748 0.0000  6 Ir 2.64, 3 Mo 2.71-2.77
Mo: 0.6252 0.1252 0.0000  6 Ir 2.64, 3 Mo 2.71-2.77
Mo: 0.8748 0.6252 0.0000  6 Ir 2.64, 3 Mo 2.71-2.77
Ir: 0.1663 0.6663 0.5000  6 Mo 2.64, 2 Ir 2.77
Ir: 0.3337 0.1663 0.5000  6 Mo 2.64, 2 Ir 2.77
Ir: 0.6663 0.8337 0.5000  6 Mo 2.64, 2 Ir 2.77
Ir: 0.8337 0.3337 0.5000  6 Mo 2.64, 2 Ir 2.77
Pd: 0.0000 0.0000 0.0000  2 Pd 2.77, 4 Mo 3.02
Pd: 0.5000 0.5000 0.0000  2 Pd 2.77, 4 Mo 3.02

=====

## Mo2IrPd (GGA-PBE)

Data for a geometry-optimized Mo2IrPd structure.

Calculated values
ρ, g/cm³: 12.71

Unit cell a=9.8909 b=9.8909 c=9.8909 alpha=16.00 beta=16.00 gamma=16.00
Last column: nearest neighbours and their distance in Å.
Element x y z (fractional)
Mo: 0.0896 0.0896 0.0896  1 Pd 2.63, 6 Mo 2.75, 3 Ir 2.76
Mo: 0.9104 0.9104 0.9104  1 Pd 2.63, 6 Mo 2.75, 3 Ir 2.76
Ir: 0.5000 0.5000 0.5000  6 Ir 2.75, 6 Mo 2.76
Pd: 0.0000 0.0000 0.0000  2 Mo 2.63, 6 Pd 2.75

=====

## MoIr2PdPt (GGA-PBE)

Data for a geometry-optimized MoIr2PdPt structure.

Calculated values
ρ, g/cm³: 11.93

Unit cell a=4.7353 b=4.7353 c=4.8516 alpha=90.00 beta=90.00 gamma=90.00
Last column: nearest neighbours and their distance in Å.
Element x y z (fractional)
Mo: 0.0000 0.0000 0.0000  4 Pd 3.35, 8 Ir 3.39
Ir: 0.0000 0.5000 0.5000  2 Pt 2.37
Ir: 0.5000 0.0000 0.5000  2 Pt 2.37
Pd: 0.5000 0.5000 0.0000  2 Pt 2.43
Pt: 0.5000 0.5000 0.5000  4 Ir 2.37, 2 Pd 2.43

=====

## SrMo2IrPd (GGA-PBE)

Data for a geometry-optimized SrMo2IrPd structure.

Calculated values
ρ, g/cm³: 7.99

Unit cell a=4.7911 b=4.7911 c=5.2314 alpha=90.00 beta=90.00 gamma=90.00
Last column: nearest neighbours and their distance in Å.
Element x y z (fractional)
Sr: 0.0000 0.0000 0.0000  4 Pd 3.39, 8 Mo 3.55
Mo: 0.0000 0.5000 0.5000  2 Ir 2.40
Mo: 0.5000 0.0000 0.5000  2 Ir 2.40
Ir: 0.5000 0.5000 0.5000  4 Mo 2.40, 2 Pd 2.62
Pd: 0.5000 0.5000 0.0000  2 Ir 2.62

=====

## VMo2IrPd (GGA-PBE)

Data for a geometry-optimized VMo2IrPd structure.

Calculated values
ρ, g/cm³: 8.56

Unit cell a=4.6585 b=4.6585 c=4.8422 alpha=90.00 beta=90.00 gamma=90.00
Last column: nearest neighbours and their distance in Å.
Element x y z (fractional)
V: 0.0000 0.0000 0.0000  4 Pd 3.29, 8 Mo 3.36
Mo: 0.0000 0.5000 0.5000  2 Ir 2.33
Mo: 0.5000 0.0000 0.5000  2 Ir 2.33
Ir: 0.5000 0.5000 0.5000  4 Mo 2.33, 2 Pd 2.42
Pd: 0.5000 0.5000 0.0000  2 Ir 2.42

=====

## Mo2IrPt (GGA-PBE)

Data for a geometry-optimized Mo2IrPt structure.

Calculated values
ρ, g/cm³: 15.66

Unit cell a=9.3057 b=9.3057 c=9.3057 alpha=17.19 beta=17.19 gamma=17.19
Last column: nearest neighbours and their distance in Å.
Element x y z (fractional)
Mo: 0.2482 0.2482 0.2482  3 Ir 2.76, 6 Mo 2.78, 3 Pt 2.84
Mo: 0.7518 0.7518 0.7518  3 Ir 2.76, 6 Mo 2.78, 3 Pt 2.84
Ir: 0.5000 0.5000 0.5000  6 Mo 2.76, 6 Ir 2.78
Pt: 0.0000 0.0000 0.0000  6 Pt 2.78, 6 Mo 2.84

=====

## MoIr2Pt (GGA-PBE)

Data for a geometry-optimized MoIr2Pt structure.

Calculated values
ρ, g/cm³: 18.20

Unit cell a=4.4338 b=4.4338 c=4.4338 alpha=60.00 beta=60.00 gamma=60.00
Last column: nearest neighbours and their distance in Å.
Element x y z (fractional)
Mo: 0.0000 0.0000 0.0000  8 Ir 2.72
Ir: 0.2500 0.2500 0.2500  4 Mo 2.72, 4 Pt 2.72
Ir: 0.7500 0.7500 0.7500  4 Mo 2.72, 4 Pt 2.72
Pt: 0.5000 0.5000 0.5000  8 Ir 2.72

=====

## MoIr2Pt (GGA-PBE)

Data for a geometry-optimized MoIr2Pt structure.

Calculated values
ρ, g/cm³: 18.69

Unit cell a=4.7658 b=4.7658 c=4.7658 alpha=131.17 beta=131.17 gamma=71.54
Last column: nearest neighbours and their distance in Å.
Element x y z (fractional)
Mo: 0.0000 0.0000 0.0000  8 Ir 2.76, 4 Pt 2.79
Ir: 0.2500 0.7500 0.5000  4 Mo 2.76, 4 Pt 2.76, 4 Ir 2.79
Ir: 0.7500 0.2500 0.5000  4 Mo 2.76, 4 Pt 2.76, 4 Ir 2.79
Pt: 0.5000 0.5000 0.0000  8 Ir 2.76, 4 Mo 2.79

=====

## MoIr2Pt (GGA-PBE)

Data for a geometry-optimized MoIr2Pt structure.

Calculated values
ρ, g/cm³: 18.26

Unit cell a=2.7238 b=4.6547 c=4.8472 alpha=90.00 beta=91.57 gamma=90.00
Last column: nearest neighbours and their distance in Å.
Element x y z (fractional)
Mo: 0.0000 0.0000 0.0000  2 Mo 2.72, 4 Pt 2.75-2.81, 4 Ir 2.76
Ir: 0.2880 0.5000 0.7441  6 Ir 2.66-2.97, 2 Pt 2.68, 2 Mo 2.76
Ir: 0.7120 0.5000 0.2559  6 Ir 2.66-2.97, 2 Pt 2.68, 2 Mo 2.76
Pt: 0.5000 0.0000 0.5000  4 Ir 2.68, 2 Pt 2.72, 4 Mo 2.75-2.81

=====

## Mo2IrPt (GGA-PBE)

Data for a geometry-optimized Mo2IrPt structure.

Calculated values
ρ, g/cm³: 15.81

Unit cell a=3.8818 b=3.8818 c=4.0360 alpha=90.00 beta=90.00 gamma=90.00
Last column: nearest neighbours and their distance in Å.
Element x y z (fractional)
Mo: 0.0000 0.5000 0.0000  4 Mo 2.74, 4 Ir 2.80, 4 Pt 2.80
Mo: 0.5000 0.0000 0.0000  4 Mo 2.74, 4 Ir 2.80, 4 Pt 2.80
Ir: 0.0000 0.0000 0.5000  4 Pt 2.74, 8 Mo 2.80
Pt: 0.5000 0.5000 0.5000  4 Ir 2.74, 8 Mo 2.80

=====

## Mo2Ir2Pt (GGA-PBE)

Data for a geometry-optimized Mo2Ir2Pt structure.

Calculated values
ρ, g/cm³: 16.11

Unit cell a=7.5478 b=7.5478 c=2.7907 alpha=90.00 beta=90.00 gamma=90.00
Last column: nearest neighbours and their distance in Å.
Element x y z (fractional)
Mo: 0.1682 0.3318 0.0000  6 Ir 2.59-2.65, 2 Mo 2.79
Mo: 0.3318 0.8318 0.0000  6 Ir 2.59-2.65, 2 Mo 2.79
Mo: 0.6682 0.1682 0.0000  6 Ir 2.59-2.65, 2 Mo 2.79
Mo: 0.8318 0.6682 0.0000  6 Ir 2.59-2.65, 2 Mo 2.79
Ir: 0.1273 0.6273 0.5000  6 Mo 2.59-2.65, 3 Ir 2.72-2.79
Ir: 0.3727 0.1273 0.5000  6 Mo 2.59-2.65, 3 Ir 2.72-2.79
Ir: 0.6273 0.8727 0.5000  6 Mo 2.59-2.65, 3 Ir 2.72-2.79
Ir: 0.8727 0.3727 0.5000  6 Mo 2.59-2.65, 3 Ir 2.72-2.79
Pt: 0.0000 0.0000 0.5000  2 Pt 2.79, 4 Ir 2.97
Pt: 0.5000 0.5000 0.5000  2 Pt 2.79, 4 Ir 2.97

=====

## MoIr2Pt (GGA-PBE)

Data for a geometry-optimized MoIr2Pt structure.

Calculated values
ρ, g/cm³: 18.65

Unit cell a=4.8180 b=4.8180 c=4.7857 alpha=99.46 beta=99.46 gamma=33.33
Last column: nearest neighbours and their distance in Å.
Element x y z (fractional)
Mo: 0.0000 0.0000 0.0000  7 Ir 2.72-2.81, 2 Mo 2.76, 3 Pt 2.77-2.80
Ir: 0.4931 0.4931 0.4876  4 Mo 2.72-2.81, 5 Ir 2.73-2.80, 3 Pt 2.76-2.82
Ir: 0.7484 0.7484 0.2451  5 Ir 2.73-2.80, 3 Mo 2.76-2.78, 4 Pt 2.76-2.77
Pt: 0.2480 0.2480 0.7455  7 Ir 2.76-2.82, 2 Pt 2.76, 3 Mo 2.77-2.80

=====

## MoIr2Pt (GGA-PBE)

Data for a geometry-optimized MoIr2Pt structure.

Calculated values
ρ, g/cm³: 18.69

Unit cell a=4.8186 b=4.8186 c=4.8186 alpha=132.31 beta=132.31 gamma=69.73
Last column: nearest neighbours and their distance in Å.
Element x y z (fractional)
Mo: 0.0000 0.0000 0.0000  8 Ir 2.75-2.78, 4 Pt 2.78
Ir: 0.2500 0.7500 0.5000  4 Pt 2.75, 4 Ir 2.78, 4 Mo 2.78
Ir: 0.5000 0.5000 0.0000  4 Mo 2.75, 4 Ir 2.78, 4 Pt 2.78
Pt: 0.7500 0.2500 0.5000  8 Ir 2.75-2.78, 4 Mo 2.78

=====

## MoIr2Pt (GGA-PBE)

Data for a geometry-optimized MoIr2Pt structure.

Calculated values
ρ, g/cm³: 18.68

Unit cell a=2.7453 b=3.9738 c=5.5032 alpha=90.00 beta=90.00 gamma=90.00
Last column: nearest neighbours and their distance in Å.
Element x y z (fractional)
Mo: 0.0000 0.0000 0.0000  6 Ir 2.68-2.83, 2 Mo 2.75, 4 Pt 2.80
Ir: 0.0000 0.0000 0.5137  2 Mo 2.68-2.83, 6 Ir 2.75-2.76, 4 Pt 2.80
Ir: 0.5000 0.5000 0.7580  2 Pt 2.74-2.76, 6 Ir 2.75-2.76, 4 Mo 2.76
Pt: 0.5000 0.5000 0.2564  6 Ir 2.74-2.80, 2 Pt 2.75, 4 Mo 2.80

=====

## MoIr2Pt (GGA-PBE)

Data for a geometry-optimized MoIr2Pt structure.

Calculated values
ρ, g/cm³: 18.66

Unit cell a=2.7613 b=3.9135 c=5.5615 alpha=90.00 beta=90.00 gamma=90.00
Last column: nearest neighbours and their distance in Å.
Element x y z (fractional)
Mo: 0.0000 0.0000 0.0000  8 Ir 2.75, 2 Mo 2.76, 2 Pt 2.78
Ir: 0.5000 0.5000 0.2438  4 Ir 2.71-2.85, 4 Mo 2.75, 4 Pt 2.79
Ir: 0.5000 0.5000 0.7562  4 Ir 2.71-2.85, 4 Mo 2.75, 4 Pt 2.79
Pt: 0.0000 0.0000 0.5000  2 Pt 2.76, 2 Mo 2.78, 8 Ir 2.79

=====

## Mo2IrPt (GGA-PBE)

Data for a geometry-optimized Mo2IrPt structure.

Calculated values
ρ, g/cm³: 15.45

Unit cell a=4.4485 b=4.4485 c=4.4485 alpha=60.00 beta=60.00 gamma=60.00
Last column: nearest neighbours and their distance in Å.
Element x y z (fractional)
Mo: 0.0000 0.0000 0.0000  4 Mo 2.72, 4 Pt 2.72
Mo: 0.2500 0.2500 0.2500  4 Ir 2.72, 4 Mo 2.72
Ir: 0.5000 0.5000 0.5000  4 Pt 2.72, 4 Mo 2.72
Pt: 0.7500 0.7500 0.7500  4 Ir 2.72, 4 Mo 2.72

=====

Number 1: total DFT energy (no corrections) -55.26 eV for the cell shown. Number 2: total DFT energy (no corrections) -67.44 eV for the cell shown. Number 3: total DFT energy (no corrections) -33.14 eV for the cell shown. Number 4: total DFT energy (no corrections) -64.58 eV for the cell shown. Number 5: total DFT energy (no corrections) -89.04 eV for the cell shown. Number 6: total DFT energy (no corrections) -34.65 eV for the cell shown. Number 7: total DFT energy (no corrections) -30.02 eV for the cell shown. Number 8: total DFT energy (no corrections) -33.02 eV for the cell shown. Number 9: total DFT energy (no corrections) -36.49 eV for the cell shown. Number 10: total DFT energy (no corrections) -37.09 eV for the cell shown. Number 11: total DFT energy (no corrections) -33.92 eV for the cell shown. Number 12: total DFT energy (no corrections) -35.49 eV for the cell shown. Number 13: total DFT energy (no corrections) -34.18 eV for the cell shown. Number 14: total DFT energy (no corrections) -37.75 eV for the cell shown. Number 15: total DFT energy (no corrections) -92.22 eV for the cell shown. Number 16: total DFT energy (no corrections) -35.11 eV for the cell shown. Number 17: total DFT energy (no corrections) -35.31 eV for the cell shown. Number 18: total DFT energy (no corrections) -35.28 eV for the cell shown. Number 19: total DFT energy (no corrections) -35.39 eV for the cell shown. Number 20: total DFT energy (no corrections) -36.33 eV for the cell shown.